No. 1
## Nd2Cu5Pd12 (GGA-PBE)

Data for a relaxed Nd2Cu5Pd12 crystal.

POSCAR file:
```
Nd2Cu5Pd12
1.0
4.510 2.604 4.468
-4.510 2.604 4.468
0.000 -5.207 4.468
Nd Cu Pd
2 5 12
Direct
0.161 0.161 0.161
0.839 0.839 0.839
0.000 0.500 0.500
0.407 0.407 0.407
0.500 0.000 0.500
0.500 0.500 0.000
0.593 0.593 0.593
0.157 0.157 0.639
0.157 0.639 0.157
0.204 0.500 0.796
0.204 0.796 0.500
0.361 0.843 0.843
0.500 0.204 0.796
0.500 0.796 0.204
0.639 0.157 0.157
0.796 0.204 0.500
0.796 0.500 0.204
0.843 0.361 0.843
0.843 0.843 0.361
```

Computed properties:
The value obtained for the formation energy from the elements is -351 meV per atom. The value obtained for the total energy is -0.191 Ha/atom. The value obtained for the magnetization is 0.00 Bohr magnetons per cell.


No. 2
## ThPaIn2 (GGA-PBE)

Data for a relaxed ThPaIn2 crystal.

POSCAR file:
```
ThPaIn2
1.0
1.658 0.957 11.257
-1.658 0.957 11.257
0.000 -1.915 11.257
Th Pa In
1 1 2
Direct
0.000 0.000 0.000
0.500 0.500 0.500
0.248 0.248 0.248
0.752 0.752 0.752
```

Computed properties:
The value obtained for the formation energy from the elements is -83 meV per atom. The energy above the most stable polymorph in this dataset comes out at 3.86 kJ/mol of atoms. The value obtained for the total energy is -0.209 Ha/atom. The value obtained for the magnetization is 0.00 Bohr magnetons per cell.


No. 3
## ZrAl2Zn (GGA-PBE)

Data for a relaxed ZrAl2Zn crystal.

POSCAR file:
```
ZrAl2Zn
1.0
2.907 -4.736 0.000
2.907 4.736 0.000
-1.183 0.000 2.587
Zr Al Zn
1 2 1
Direct
0.000 0.000 0.000
0.000 0.500 0.500
0.500 0.000 0.500
0.500 0.500 0.000
```

Computed properties:
The value obtained for the formation energy from the elements is -176 meV per atom. The value obtained for the total energy is -0.165 Ha/atom. The value obtained for the magnetization is 0.00 Bohr magnetons per cell.


No. 4
## ErTiHg2 (GGA-PBE)

Data for a relaxed ErTiHg2 crystal.

POSCAR file:
```
ErTiHg2
1.0
3.564 0.000 0.000
0.000 3.564 0.000
0.000 0.000 6.931
Er Ti Hg
1 1 2
Direct
0.000 0.000 0.000
0.000 0.000 0.500
0.500 0.500 0.273
0.500 0.500 0.727
```

Computed properties:
The value obtained for the formation energy from the elements is -188 meV per atom. The energy above the most stable polymorph in this dataset comes out at 0.00 kJ/mol of atoms. The value obtained for the total energy is -0.127 Ha/atom. The value obtained for the magnetization is 1.12 Bohr magnetons per cell.


No. 5
## TcNi2Ag (GGA-PBE)

Data for a relaxed TcNi2Ag crystal.

POSCAR file:
```
TcNi2Ag
1.0
4.501 0.000 0.000
0.000 4.501 0.000
0.000 0.000 2.682
Tc Ni Ag
1 2 1
Direct
0.000 0.000 0.000
0.000 0.500 0.500
0.500 0.000 0.500
0.500 0.500 0.000
```

Computed properties:
The value obtained for the formation energy from the elements is 356 meV per atom. The energy above the most stable polymorph in this dataset comes out at 23.77 kJ/mol of atoms. The value obtained for the total energy is -0.215 Ha/atom. The value obtained for the magnetization is 1.50 Bohr magnetons per cell.


No. 6
## MnBr2Cl (GGA-PBE)

Data for a relaxed MnBr2Cl crystal.

POSCAR file:
```
MnBr2Cl
1.0
4.955 0.000 0.000
0.000 4.955 0.000
0.000 0.000 3.845
Mn Br Cl
1 2 1
Direct
0.000 0.000 0.000
0.000 0.500 0.500
0.500 0.000 0.500
0.500 0.500 0.000
```

Computed properties:
The energy above the most stable polymorph in this dataset comes out at 90.70 kJ/mol of atoms. The value obtained for the total energy is -0.124 Ha/atom. As for the formation energy from raw total energies: 0.88 eV per formula unit. The value obtained for the magnetization is 5.85 Bohr magnetons per cell.


No. 7
## CaZnPb (GGA-PBE)

Data for a relaxed CaZnPb crystal.

POSCAR file:
```
CaZnPb
1.0
4.909 -3.821 0.000
4.909 3.821 0.000
-2.314 0.000 4.179
Ca Zn Pb
2 2 2
Direct
0.000 0.000 0.000
0.509 0.491 0.000
0.161 0.537 0.349
0.463 0.839 0.651
0.541 0.089 0.314
0.911 0.459 0.686
```

Computed properties:
The value obtained for the formation energy from the elements is -323 meV per atom. The value obtained for the total energy is -0.097 Ha/atom. The value obtained for the magnetization is 0.00 Bohr magnetons per cell.


No. 8
## LiIn3Pt3 (GGA-PBE)

Data for a relaxed LiIn3Pt3 crystal.

POSCAR file:
```
LiIn3Pt3
1.0
4.580 2.645 1.852
-4.580 2.645 1.852
0.000 -5.289 1.852
Li In Pt
1 3 3
Direct
0.000 0.000 0.000
0.001 0.501 0.501
0.501 0.001 0.501
0.501 0.501 0.001
0.001 0.001 0.501
0.001 0.501 0.001
0.501 0.001 0.001
```

Computed properties:
The value obtained for the formation energy from the elements is -451 meV per atom. The value obtained for the total energy is -0.165 Ha/atom. The value obtained for the magnetization is 0.00 Bohr magnetons per cell.


No. 9
## SrW3C (GGA-PBE)

Data for a relaxed SrW3C crystal.

POSCAR file:
```
SrW3C
1.0
4.367 0.000 0.000
0.000 4.367 0.000
0.000 0.000 4.367
Sr W C
1 3 1
Direct
0.000 0.000 0.000
0.000 0.500 0.500
0.500 0.000 0.500
0.500 0.500 0.000
0.500 0.500 0.500
```

Computed properties:
The value obtained for the formation energy from the elements is 926 meV per atom. The energy above the most stable polymorph in this dataset comes out at 0.00 kJ/mol of atoms. The value obtained for the total energy is -0.332 Ha/atom. The value obtained for the magnetization is 0.00 Bohr magnetons per cell.


No. 10
## CsHg5 (GGA-PBE)

Data for a relaxed CsHg5 crystal.

POSCAR file:
```
CsHg5
1.0
4.839 -2.793 0.000
4.839 2.793 0.000
-0.078 0.000 7.677
Cs Hg
1 5
Direct
0.000 0.000 0.000
0.000 0.000 0.500
0.333 0.333 0.706
0.334 0.334 0.295
0.666 0.666 0.705
0.667 0.667 0.294
```

Computed properties:
The value obtained for the formation energy from the elements is -184 meV per atom. The energy above the most stable polymorph in this dataset comes out at 0.19 kJ/mol of atoms. The value obtained for the total energy is -0.021 Ha/atom. The value obtained for the magnetization is 0.00 Bohr magnetons per cell.


No. 11
## TiAg3F (GGA-PBE)

Data for a relaxed TiAg3F crystal.

POSCAR file:
```
TiAg3F
1.0
5.127 0.000 0.000
0.000 5.127 0.000
0.000 0.000 5.127
Ti Ag F
1 3 1
Direct
0.000 0.000 0.000
0.000 0.000 0.500
0.000 0.500 0.000
0.500 0.000 0.000
0.500 0.500 0.500
```

Computed properties:
The value obtained for the total energy is -0.102 Ha/atom. As for the formation energy from raw total energies: 4.47 eV per formula unit. The value obtained for the magnetization is 2.31 Bohr magnetons per cell.


No. 12
## PmBI2 (GGA-PBE)

Data for a relaxed PmBI2 crystal.

POSCAR file:
```
PmBI2
1.0
3.886 0.000 0.000
-1.847 3.571 0.000
-0.070 -2.217 8.083
Pm B I
1 1 2
Direct
0.000 0.000 0.000
0.561 0.094 0.500
0.179 0.407 0.711
0.711 0.448 0.287
```

Computed properties:
The value obtained for the total energy is -0.119 Ha/atom. As for the formation energy from raw total energies: 1.57 eV per formula unit. The value obtained for the magnetization is 0.00 Bohr magnetons per cell.


Let's list Fermi-level density of states in order: 15.08 4.58 1.42 3.45 5.66 3.77 1.56 3.75 3.39 2.37 3.22 1.31 states/eV per cell.